Computed, not measured: crystalline Ac2Hg2Au at its relaxed geometry at the PBE level of DFT.

Summary:
The theoretical density is 10.53 g/cm³. Its energy of formation is -0.42 eV per atom. The excess energy over the best structure of this formula in the dataset comes out at 141 meV per atom.

Unit cell a=11.369 b=4.449 c=6.634 alpha=90.00 beta=98.57 gamma=90.00
Space group C2/m (No. 12)
Inequivalent atoms, fractional coordinates:
Ac1 0.179 0.000 0.211
Hg1 0.099 0.000 0.685
Au1 0.000 0.500 0.000

Computed, not measured: crystalline CsYGeBr6 at its relaxed geometry at the PBE level of DFT.

Summary:
The theoretical density is 3.37 g/cm³. The calculation puts the raw formation energy at -13.12 eV/f.u.

Unit cell a=7.3767 b=7.3767 c=8.0823 alpha=90.00 beta=90.00 gamma=120.00
Space group P312 (No. 149)
Inequivalent atoms, fractional coordinates:
Cs1 0.0000 0.0000 0.0000
Y1 0.6667 0.3333 0.5000
Ge1 0.3333 0.6667 0.5000
Br1 0.3787 0.0018 0.7016

Computed, not measured: crystalline Te2HAuI at its relaxed geometry at the PBE level of DFT.

Summary:
The theoretical density is 6.36 g/cm³. The excess energy over the best structure of this formula in the dataset comes out at 0 meV per atom.

Unit cell a=4.276 b=4.276 c=8.290 alpha=90.00 beta=90.00 gamma=90.00
Space group P4/mmm (No. 123)
Inequivalent atoms, fractional coordinates:
Te1 0.000 0.500 0.000
H1 0.000 0.000 0.000
Au1 0.500 0.500 0.500
I1 0.000 0.000 0.500

Computed, not measured: crystalline AcSbMo at its relaxed geometry at the PBE level of DFT.

Summary:
The theoretical density is 8.76 g/cm³. The excess energy over the best structure of this formula in the dataset comes out at 231 meV per atom. The calculation puts the raw formation energy at 0.71 eV/f.u.

Unit cell a=7.499 b=7.500 c=5.996 alpha=90.00 beta=90.27 gamma=90.00
Space group C2/m (No. 12)
Inequivalent atoms, fractional coordinates:
Ac1 0.000 0.250 0.000
Sb1 0.250 0.000 0.357
Mo1 0.000 0.250 0.500

Computed, not measured: crystalline CuAg2Ir at its relaxed geometry at the PBE level of DFT.

Summary:
The theoretical density is 12.49 g/cm³. Its energy of formation is 0.30 eV per atom. The excess energy over the best structure of this formula in the dataset comes out at 106 meV per atom.

Unit cell a=2.855 b=4.648 c=9.449 alpha=90.00 beta=90.00 gamma=90.00
Space group Cmmm (No. 65)
Inequivalent atoms, fractional coordinates:
Cu1 0.000 0.000 0.000
Ag1 0.000 0.500 0.240
Ir1 0.000 0.000 0.500

Computed, not measured: crystalline Rb2LiSI at its relaxed geometry at the PBE level of DFT.

Summary:
The theoretical density is 2.87 g/cm³. The calculation puts the raw formation energy at -6.09 eV/f.u.

Unit cell a=6.529 b=6.529 c=4.568 alpha=90.00 beta=90.00 gamma=90.00
Space group P4/mmm (No. 123)
Inequivalent atoms, fractional coordinates:
Rb1 0.000 0.500 0.000
Li1 0.000 0.000 0.500
S1 0.000 0.000 0.000
I1 0.500 0.500 0.500

> Look up the theoretical density of the fifth one.

12.49 g/cm³

Please write out number 4 again, unchanged.
Computed, not measured: crystalline AcSbMo at its relaxed geometry at the PBE level of DFT.

Summary:
The theoretical density is 8.76 g/cm³. The excess energy over the best structure of this formula in the dataset comes out at 231 meV per atom. The calculation puts the raw formation energy at 0.71 eV/f.u.

Unit cell a=7.499 b=7.500 c=5.996 alpha=90.00 beta=90.27 gamma=90.00
Space group C2/m (No. 12)
Inequivalent atoms, fractional coordinates:
Ac1 0.000 0.250 0.000
Sb1 0.250 0.000 0.357
Mo1 0.000 0.250 0.500

Repeat the second record exactly.
Computed, not measured: crystalline CsYGeBr6 at its relaxed geometry at the PBE level of DFT.

Summary:
The theoretical density is 3.37 g/cm³. The calculation puts the raw formation energy at -13.12 eV/f.u.

Unit cell a=7.3767 b=7.3767 c=8.0823 alpha=90.00 beta=90.00 gamma=120.00
Space group P312 (No. 149)
Inequivalent atoms, fractional coordinates:
Cs1 0.0000 0.0000 0.0000
Y1 0.6667 0.3333 0.5000
Ge1 0.3333 0.6667 0.5000
Br1 0.3787 0.0018 0.7016